PmNbV2O8 after structural relaxation. Source: Alexandria, functional PBE with a Hubbard U.

Unit cell a=6.604 b=6.861 c=6.508 alpha=90.00 beta=90.00 gamma=90.00
Space group Cmmm (No. 65)
Inequivalent atoms, fractional coordinates:
Pm1 0.000 0.000 0.000 (multiplicity 2)
Nb1 0.000 0.000 0.500 (multiplicity 2)
V1 0.000 0.500 0.248 (multiplicity 4)
O1 0.000 0.299 0.500 (multiplicity 4)
O2 0.000 0.330 0.000 (multiplicity 4)
O3 0.215 0.000 0.281 (multiplicity 8)

The calculation puts the total DFT energy (no corrections) at -8.16 eV/atom.